3
Lattice="0.000 3.946 3.946 3.946 0.000 3.946 3.946 3.946 0.000" Properties=species:S:1:pos:R:3 comment="PBE-GGA AcPuTe, relaxed" vol_a3_per_fu=122.9 density_g_cm3=8.089 e_above_lowest_polymorph_ev_per_atom=0.505 space_group=F-43m pbc="T T T"
Ac 0.000 0.000 0.000
Pu 5.919 5.919 5.919
Te 1.973 1.973 1.973

***

3
Lattice="0.000 3.822 3.822 3.822 0.000 3.822 3.822 3.822 0.000" Properties=species:S:1:pos:R:3 comment="PBE-GGA AcPuTe, relaxed" vol_a3_per_fu=111.7 density_g_cm3=8.902 e_above_lowest_polymorph_ev_per_atom=0.000 space_group=F-43m pbc="T T T"
Ac 0.000 0.000 0.000
Pu 3.822 3.822 3.822
Te 1.911 1.911 1.911

***

3
Lattice="0.000 3.945 3.945 3.945 0.000 3.945 3.945 3.945 0.000" Properties=species:S:1:pos:R:3 comment="PBE-GGA AcPuTh, relaxed" delta_e_f_ev_per_atom=0.7543 vol_a3_per_fu=122.8 density_g_cm3=9.505 space_group=F-43m pbc="T T T"
Ac 0.000 0.000 0.000
Pu 1.973 1.973 1.973
Th 3.945 3.945 3.945